Entry from the Alexandria database: an optimized crystal structure of KTaVP2 (GGA-PBE).

extended XYZ file:
```
5
Lattice="-4.530 1.058 -0.806 -0.078 -3.050 -3.567 -1.328 -3.429 2.961" Properties=species:S:1:pos:R:3 pbc="T T T"
K -2.968 -2.710 -0.706
P -0.664 -1.714 1.481
P -2.265 0.529 -0.403
Ta -0.039 -1.525 -1.783
V 0.000 0.000 0.000
```

Results
Energy of formation from the pure elements   3.168 eV/f.u.
Calculated volume   20.93 A^3/atom
Crystal system   tetragonal
M_tot   0.210 μB/atom
Electronic total energy   -5.94 eV/atom

=====

Entry from the Alexandria database: an optimized crystal structure of KTc2P (GGA-PBE).

extended XYZ file:
```
4
Lattice="5.284 0.031 0.000 2.361 4.727 0.000 -3.822 -2.379 2.766" Properties=species:S:1:pos:R:3 pbc="T T T"
Tc 0.000 0.000 0.000
Tc 3.822 2.379 0.000
K 1.180 2.363 1.383
P 2.642 0.016 1.383
```

Results
Energy of formation from the pure elements   5.369 eV/f.u.
Calculated volume   17.22 A^3/atom
Crystal system   tetragonal
M_tot   0.000 μB/atom
Electronic total energy   -5.47 eV/atom

=====

Entry from the Alexandria database: an optimized crystal structure of KTcP (GGA-PBE).

extended XYZ file:
```
3
Lattice="4.878 0.000 0.000 2.439 4.224 0.000 2.439 1.408 3.983" Properties=species:S:1:pos:R:3 pbc="T T T"
K 2.439 1.408 0.996
P 0.000 0.000 0.000
Tc 4.878 2.816 1.991
```

Results
Energy of formation from the pure elements   5.830 eV/f.u.
Calculated volume   27.35 A^3/atom
ΔE to the lowest computed polymorph   2338 meV/atom
Crystal system   cubic
M_tot   1.505 μB/atom
Electronic total energy   -3.68 eV/atom

=====

Entry from the Alexandria database: an optimized crystal structure of KTcP (GGA-PBE).

extended XYZ file:
```
3
Lattice="3.923 0.000 0.000 -1.962 3.397 0.000 0.000 0.000 5.654" Properties=species:S:1:pos:R:3 pbc="T T T"
K 0.000 0.000 5.654
P 1.962 1.132 2.827
Tc 0.000 2.265 2.828
```

Results
Energy of formation from the pure elements   0.118 eV/f.u.
Calculated volume   25.12 A^3/atom
ΔE to the lowest computed polymorph   435 meV/atom
Crystal system   hexagonal
M_tot   0.000 μB/atom
Electronic total energy   -5.59 eV/atom

=====

Entry from the Alexandria database: an optimized crystal structure of KTc2P (GGA-PBE).

extended XYZ file:
```
4
Lattice="-4.121 0.882 -1.638 -1.084 -1.278 -4.199 -2.944 -3.370 -0.649" Properties=species:S:1:pos:R:3 pbc="T T T"
Tc -2.037 -0.942 -1.622
Tc 0.000 0.000 0.000
P -6.112 -2.825 -4.865
K -4.074 -1.883 -3.243
```

Results
Energy of formation from the pure elements   3.908 eV/f.u.
Calculated volume   16.34 A^3/atom
Crystal system   cubic
M_tot   0.000 μB/atom
Electronic total energy   -5.83 eV/atom

=====

Entry from the Alexandria database: an optimized crystal structure of KTcP2 (GGA-PBE).

extended XYZ file:
```
4
Lattice="2.994 0.000 0.000 0.000 2.997 0.004 0.000 2.981 7.862" Properties=species:S:1:pos:R:3 pbc="T T T"
Tc 1.497 1.494 1.967
K 1.497 4.483 5.900
P 0.000 2.994 0.544
P 0.000 2.992 3.394
```

Results
Energy of formation from the pure elements   -1.144 eV/f.u.
Calculated volume   17.63 A^3/atom
ΔE to the lowest computed polymorph   0 meV/atom
Crystal system   tetragonal
M_tot   0.000 μB/atom
Electronic total energy   -5.86 eV/atom

=====

Entry from the Alexandria database: an optimized crystal structure of KTcP2 (GGA-PBE).

extended XYZ file:
```
4
Lattice="0.000 3.212 3.212 3.212 0.000 3.212 3.212 3.212 0.000" Properties=species:S:1:pos:R:3 pbc="T T T"
Tc 3.212 3.212 3.212
P 4.819 4.819 4.819
P 1.606 1.606 1.606
K 0.000 0.000 0.000
```

Results
Energy of formation from the pure elements   2.327 eV/f.u.
Calculated volume   16.58 A^3/atom
ΔE to the lowest computed polymorph   868 meV/atom
Crystal system   cubic
M_tot   0.000 μB/atom
Electronic total energy   -4.99 eV/atom

=====

Entry from the Alexandria database: an optimized crystal structure of KTc2P (GGA-PBE).

extended XYZ file:
```
4
Lattice="-3.594 -7.428 4.690 -0.779 -7.724 5.461 -2.532 -5.922 6.972" Properties=species:S:1:pos:R:3 pbc="T T T"
K -1.726 -5.268 4.281
P -5.179 -15.805 12.843
Tc -3.301 -10.076 8.187
Tc -0.151 -0.461 0.375
```

Results
Energy of formation from the pure elements   1.793 eV/f.u.
Calculated volume   17.40 A^3/atom
Crystal system   trigonal
M_tot   0.000 μB/atom
Electronic total energy   -6.36 eV/atom

=====

Entry from the Alexandria database: an optimized crystal structure of K6TcP4 (GGA-PBE).

extended XYZ file:
```
22
Lattice="7.936 0.000 0.000 0.000 8.744 -5.049 0.000 0.000 10.097" Properties=species:S:1:pos:R:3 pbc="T T T"
Tc 1.943 5.830 0.000
Tc 5.911 2.915 5.049
P 6.647 1.832 6.923
P 7.595 5.830 0.000
P 3.627 2.915 5.049
P 6.647 5.080 5.049
P 2.679 6.912 -1.875
P 2.679 6.912 1.875
P 6.647 1.832 3.174
P 2.679 3.665 0.000
K 1.085 0.560 5.049
K 5.053 4.652 -2.040
K 1.085 4.092 7.088
K 5.053 4.652 2.040
K 3.618 1.248 2.162
K 7.586 7.496 -2.887
K 1.085 4.092 3.009
K 7.586 7.496 2.887
K 3.618 6.248 5.049
K 7.586 2.496 0.000
K 5.053 8.185 0.000
K 3.618 1.248 7.935
```

Results
Energy of formation from the pure elements   -3.909 eV/f.u.
Calculated volume   31.85 A^3/atom
Crystal system   hexagonal
M_tot   0.044 μB/atom
Electronic total energy   -3.86 eV/atom

=====

Entry from the Alexandria database: an optimized crystal structure of K2TcP (GGA-PBE).

extended XYZ file:
```
4
Lattice="3.740 0.000 0.000 0.000 5.564 -0.044 0.000 2.840 6.004" Properties=species:S:1:pos:R:3 pbc="T T T"
K 0.000 8.055 5.562
K 1.870 2.455 2.087
Tc 1.870 5.260 4.222
P 0.000 5.239 3.028
```

Results
Energy of formation from the pure elements   1.083 eV/f.u.
Calculated volume   31.35 A^3/atom
Crystal system   monoclinic
M_tot   0.101 μB/atom
Electronic total energy   -4.22 eV/atom

=====

Entry from the Alexandria database: an optimized crystal structure of K4TcP (GGA-PBE).

extended XYZ file:
```
6
Lattice="-4.719 -0.610 4.655 -5.792 -2.921 -1.494 -1.448 -5.994 2.506" Properties=species:S:1:pos:R:3 pbc="T T T"
K -6.831 -3.889 4.430
K -5.219 -6.544 3.371
K -7.360 -5.029 1.399
K -4.505 -3.589 2.135
Tc 0.000 0.000 0.000
P -8.969 -7.144 4.251
```

Results
Energy of formation from the pure elements   7.050 eV/f.u.
Calculated volume   34.76 A^3/atom
Crystal system   cubic
M_tot   0.671 μB/atom
Electronic total energy   -2.19 eV/atom

=====

Entry from the Alexandria database: an optimized crystal structure of K2TcP (GGA-PBE).

extended XYZ file:
```
8
Lattice="12.478 0.000 0.000 0.000 12.478 0.000 6.239 6.239 2.276" Properties=species:S:1:pos:R:3 pbc="T T T"
Tc 0.000 0.000 0.000
Tc 12.478 6.239 1.138
K 6.858 3.120 0.569
K 9.359 11.860 1.707
K 5.621 9.359 0.569
K 15.598 13.097 1.707
P 6.239 6.239 0.000
P 6.239 12.478 1.138
```

Results
Energy of formation from the pure elements   1.424 eV/f.u.
Calculated volume   44.30 A^3/atom
Crystal system   tetragonal
M_tot   0.500 μB/atom
Electronic total energy   -4.14 eV/atom

=====

Entry from the Alexandria database: an optimized crystal structure of K2TcP (GGA-PBE).

extended XYZ file:
```
4
Lattice="-1.692 2.589 1.686 -4.030 -0.435 -3.377 -2.188 -3.416 3.051" Properties=species:S:1:pos:R:3 pbc="T T T"
Tc -4.502 -1.485 1.442
P -3.408 0.223 -0.083
K -1.093 -1.707 1.524
K -0.001 -0.001 0.001
```

Results
Energy of formation from the pure elements   3.415 eV/f.u.
Calculated volume   23.58 A^3/atom
Crystal system   orthorhombic
M_tot   0.254 μB/atom
Electronic total energy   -3.64 eV/atom

=====

Entry from the Alexandria database: an optimized crystal structure of KTc2P (GGA-PBE).

extended XYZ file:
```
4
Lattice="-1.522 0.832 -2.436 -2.230 -1.839 0.765 -3.697 6.343 4.475" Properties=species:S:1:pos:R:3 pbc="T T T"
Tc -2.222 3.813 2.690
Tc -3.323 5.702 4.023
P -4.648 4.253 2.521
K -2.800 1.082 0.283
```

Results
Energy of formation from the pure elements   1.822 eV/f.u.
Calculated volume   19.22 A^3/atom
Crystal system   tetragonal
M_tot   0.050 μB/atom
Electronic total energy   -6.35 eV/atom

=====

Entry from the Alexandria database: an optimized crystal structure of KTc4P2 (GGA-PBE).

extended XYZ file:
```
7
Lattice="-2.094 -1.201 3.215 1.298 -3.827 -0.584 5.865 3.391 5.085" Properties=species:S:1:pos:R:3 pbc="T T T"
P 3.915 0.525 5.259
P 1.154 -2.162 2.457
Tc 3.315 -1.309 1.670
Tc 3.616 -1.603 4.270
Tc 3.848 0.873 2.831
Tc 1.453 -0.033 3.447
K 0.000 0.000 0.000
```

Results
Energy of formation from the pure elements   -1.902 eV/f.u.
Calculated volume   19.28 A^3/atom
Crystal system   orthorhombic
M_tot   0.000 μB/atom
Electronic total energy   -7.90 eV/atom

=====

Entry from the Alexandria database: an optimized crystal structure of KTc2P (GGA-PBE).

extended XYZ file:
```
4
Lattice="-3.824 2.107 -0.237 -3.836 0.002 2.099 1.421 5.063 4.569" Properties=species:S:1:pos:R:3 pbc="T T T"
P -1.854 1.278 1.142
K -3.219 3.503 3.139
Tc -4.341 5.999 5.383
Tc -6.187 7.153 6.413
```

Results
Energy of formation from the pure elements   1.052 eV/f.u.
Calculated volume   22.11 A^3/atom
Crystal system   monoclinic
M_tot   0.166 μB/atom
Electronic total energy   -6.55 eV/atom

=====

Entry from the Alexandria database: an optimized crystal structure of KTcP2 (GGA-PBE).

extended XYZ file:
```
4
Lattice="-2.243 -2.268 0.179 1.232 -1.000 2.773 -4.544 4.791 3.747" Properties=species:S:1:pos:R:3 pbc="T T T"
K -3.989 2.039 4.348
P -0.336 0.355 0.277
P -1.763 -0.308 2.512
Tc -1.739 1.834 1.434
```

Results
Energy of formation from the pure elements   0.510 eV/f.u.
Calculated volume   19.37 A^3/atom
ΔE to the lowest computed polymorph   414 meV/atom
Crystal system   tetragonal
M_tot   0.000 μB/atom
Electronic total energy   -5.44 eV/atom

=====

Entry from the Alexandria database: an optimized crystal structure of KTcP2 (GGA-PBE).

extended XYZ file:
```
4
Lattice="-4.477 -2.969 0.972 0.639 -5.286 1.203 2.086 4.769 1.643" Properties=species:S:1:pos:R:3 pbc="T T T"
P 0.403 -2.322 1.967
P 0.000 0.000 0.000
K -2.155 -1.164 1.852
Tc -1.919 -4.128 1.088
```

Results
Energy of formation from the pure elements   3.831 eV/f.u.
Calculated volume   18.48 A^3/atom
ΔE to the lowest computed polymorph   1244 meV/atom
Crystal system   tetragonal
M_tot   0.557 μB/atom
Electronic total energy   -4.61 eV/atom

=====

Entry from the Alexandria database: an optimized crystal structure of K2TcP (GGA-PBE).

extended XYZ file:
```
4
Lattice="-4.130 4.174 2.988 -1.080 -0.887 6.439 4.250 1.353 -4.849" Properties=species:S:1:pos:R:3 pbc="T T T"
P -2.336 1.474 4.227
K -1.010 3.439 1.006
K -0.069 0.044 0.126
Tc -0.148 1.327 3.932
```

Results
Energy of formation from the pure elements   0.999 eV/f.u.
Calculated volume   29.37 A^3/atom
Crystal system   orthorhombic
M_tot   0.017 μB/atom
Electronic total energy   -4.24 eV/atom

=====

Entry from the Alexandria database: an optimized crystal structure of KTc2P (GGA-PBE).

extended XYZ file:
```
4
Lattice="5.776 -0.007 0.002 2.757 5.076 -0.002 -3.404 -3.987 2.425" Properties=species:S:1:pos:R:3 pbc="T T T"
P 3.320 -0.730 1.214
Tc 8.073 4.795 0.000
Tc 4.727 2.808 0.000
K 1.810 1.811 1.211
```

Results
Energy of formation from the pure elements   2.364 eV/f.u.
Calculated volume   17.78 A^3/atom
Crystal system   orthorhombic
M_tot   0.000 μB/atom
Electronic total energy   -6.22 eV/atom